! PBE ScGe2Bi2, optimized geometry; values from VASP
! ΔH_f (0 K), eV per atom: 0.214
! E above lowest polymorph, eV per atom: 0.281
! Spin magnetization, μB/cell: 0.0
&SYSTEM
  ibrav = 0, nat = 5, ntyp = 3
/
ATOMIC_SPECIES
Sc 44.96 Sc.upf
Ge 72.64 Ge.upf
Bi 208.98 Bi.upf
CELL_PARAMETERS angstrom
-0.884 -4.059 -1.201
-0.575 -1.100 4.142
-7.846 -0.872 0.937
ATOMIC_POSITIONS angstrom
Sc 0.000 0.000 0.000
Ge -1.905 -2.298 1.383
Ge -7.400 -3.734 2.495
Bi -4.730 -3.755 0.603
Bi -4.575 -2.276 3.275